The following is a PBE calculation of a geometry-optimized CsTmNiS3 structure, from OQMD via LeMat-Bulk.

a = 9.3330 Å, b = 3.9194 Å, c = 9.6420 Å
α = 90.00°, β = 112.22°, γ = 90.00°
Last column: nearest neighbours and their distance in Å.
Fractional coordinates of all 12 atoms:
Cs1 0.2113 0.2500 0.2430  7 S 3.49-3.68
Cs2 0.7887 0.7500 0.7570  7 S 3.49-3.68
Ni1 0.9226 0.7500 0.4031  4 S 2.21-2.28
Ni2 0.0774 0.2500 0.5969  4 S 2.21-2.28
S1 0.8704 0.7500 0.1522  1 Ni 2.28
S2 0.4751 0.7500 0.1559  3 Tm 2.65-2.70
S3 0.8286 0.2500 0.4506  3 Ni 2.21-2.26
S4 0.1714 0.7500 0.5494  3 Ni 2.21-2.26
S5 0.5249 0.2500 0.8441  3 Tm 2.65-2.70
S6 0.1296 0.2500 0.8478  1 Ni 2.28
Tm1 0.6677 0.2500 0.1399  6 S 2.65-2.80
Tm2 0.3323 0.7500 0.8601  6 S 2.65-2.80

Summary:
Excess energy over the best structure of this formula in the dataset in eV/f.u.: 0.000
Space group: P2_1/m, No. 11
Total magnetization in μB/f.u.: 1.26